VASP calculation (PBEsol) on a relaxed structure of RbIr2OsCl.

Cell lengths 4.7670, 4.7670, 5.1309 Å; angles 90.00, 90.00, 90.00 degrees
Each line ends with the local moment (μB).
Element x y z (fractional)
Ir (0.0000, 0.5000, 0.0000)  0.67
Ir (0.5000, 0.0000, 0.0000)  0.67
Os (0.5000, 0.5000, 0.5000)  3.03
Rb (0.0000, 0.0000, 0.0000)  0.00
Cl (0.0000, 0.0000, 0.5000)  0.13

The calculation puts the density of states at the Fermi level at 5.1 states/eV/cell. The raw formation energy is 17.34 eV per formula unit. Its space group is P4/mmm.